5
Lattice="3.780 0.000 0.000 0.000 3.780 0.000 0.000 0.000 6.017" Properties=species:S:1:pos:R:3 comment="TeOsRuN2 | Alexandria | PBE | relaxed" dos_ef_per_ev_cell=5.3 mass_density_g_cm3=8.63 de_polymorph_ev_per_atom=0.000 magmom_total_mub_per_fu=1.528 space_group=P4/mmm final_energy_ev_per_cell=-35.23 raw_formation_energy_kj_per_mol_fu=489 pbc="T T T"
N 0.000 1.890 0.000
Ru 1.890 1.890 3.008
N 1.890 0.000 0.000
Os 0.000 0.000 0.000
Te 0.000 0.000 3.008